# CsMg6CrO8

CsMg6CrO8 after structural relaxation (PBE+U, Alexandria via LeMat-Bulk).

a = 4.5859 Å, b = 4.5859 Å, c = 9.1010 Å
α = 90.00°, β = 90.00°, γ = 90.00°
Space group P4/mmm (No. 123)
One atom of each set of equivalent atoms:
Cs  0.0000  0.0000  0.0000 (multiplicity 1)
Mg  0.0000  0.5000  0.2672 (multiplicity 4)
Mg  0.5000  0.5000  0.0000 (multiplicity 1)
Mg  0.5000  0.5000  0.5000 (multiplicity 1)
Cr  0.0000  0.0000  0.5000 (multiplicity 1)
O  0.0000  0.0000  0.2853 (multiplicity 2)
O  0.0000  0.5000  0.0000 (multiplicity 2)
O  0.0000  0.5000  0.5000 (multiplicity 2)
O  0.5000  0.5000  0.2554 (multiplicity 2)

## Properties
Its spin magnetization is 3.79 μB per formula unit. The calculation puts the final energy at -5.503 eV per atom.